TiGaI2 | GGA-PBE | optimized geometry

```
TiGaI2
1.0
0.000 3.769 3.769
3.769 0.000 3.769
3.769 3.769 0.000
Ti I Ga
1 2 1
Direct
0.000 0.000 0.000 Ti
0.250 0.250 0.250 I
0.750 0.750 0.750 I
0.500 0.500 0.500 Ga
```

Values from the calculation:
Energy relative to the elements, uncorrected in eV/atom: 0.10

***

CdCu2F8 | GGA-PBE | optimized geometry

```
CdCu2F8
1.0
3.848 0.000 0.000
-0.001 5.795 -3.346
0.000 -0.001 6.693
F Cd Cu
8 1 2
Direct
0.264 0.655 0.827 F
0.264 0.173 0.829 F
0.736 0.829 0.655 F
0.757 0.333 0.667 F
0.736 0.345 0.173 F
0.243 0.667 0.333 F
0.736 0.827 0.171 F
0.264 0.171 0.345 F
0.000 0.000 0.000 Cd
0.745 0.667 0.333 Cu
0.255 0.333 0.667 Cu
```

Values from the calculation:
Energy relative to the elements, uncorrected in eV/atom: -1.41

***

TmHgPdPt | GGA-PBE | optimized geometry

```
TmHgPdPt
1.0
-4.393 1.831 -0.260
-3.403 -1.537 2.963
-1.604 2.848 3.469
Pt Pd Tm Hg
1 1 1 1
Direct
0.750 0.750 0.750 Pt
0.250 0.250 0.250 Pd
0.000 0.000 0.000 Tm
0.500 0.500 0.500 Hg
```

Values from the calculation:
Formation energy in eV/atom: -0.7568